Record 1
First-principles (PBE) data for a relaxed structure of CsNa2Bi2, as listed in the Alexandria database.

Results
Electronic total energy, eV per cell: -25.043
Energy relative to the elements, eV/atom: -0.254
Energy above the most stable polymorph in this dataset, meV/atom: 59
Space group: P4/mbm, No. 127
Total magnetization, μB/f.u.: 0.0

Unit cell a=10.069 b=10.069 c=3.626 alpha=90.00 beta=90.00 gamma=90.00
Atoms (fractional coordinates):
Cs 0.000 0.000 0.000
Cs 0.500 0.500 0.000
Na 0.158 0.342 0.500
Na 0.342 0.842 0.500
Na 0.658 0.158 0.500
Na 0.842 0.658 0.500
Bi 0.124 0.624 0.000
Bi 0.376 0.124 0.000
Bi 0.624 0.876 0.000
Bi 0.876 0.376 0.000



Record 2
First-principles (PBE) data for a relaxed structure of CsNa4Bi4, as listed in the Alexandria database.

Results
Electronic total energy, eV per cell: -46.716
Energy relative to the elements, eV/atom: -0.189
Space group: P4_2/n, No. 86
Total magnetization, μB/f.u.: 0.0

Unit cell a=10.793 b=10.793 c=6.361 alpha=90.00 beta=90.00 gamma=90.00
Atoms (fractional coordinates):
Cs 0.250 0.250 0.250
Cs 0.750 0.750 0.750
Na 0.107 0.617 0.122
Na 0.117 0.893 0.622
Na 0.383 0.607 0.622
Na 0.393 0.883 0.122
Na 0.607 0.117 0.878
Na 0.617 0.393 0.378
Na 0.883 0.107 0.378
Na 0.893 0.383 0.878
Bi 0.083 0.583 0.622
Bi 0.083 0.917 0.122
Bi 0.417 0.583 0.122
Bi 0.417 0.917 0.622
Bi 0.583 0.083 0.378
Bi 0.583 0.417 0.878
Bi 0.917 0.083 0.878
Bi 0.917 0.417 0.378



Record 3
First-principles (PBE) data for a relaxed structure of CsNa2Bi, as listed in the Alexandria database.

Results
Electronic total energy, eV per cell: -17.614
Energy relative to the elements, eV/atom: -0.359
Space group: P2_1/m, No. 11
Total magnetization, μB/f.u.: 0.0

Unit cell a=5.554 b=9.069 c=7.743 alpha=90.00 beta=110.91 gamma=90.00
Atoms (fractional coordinates):
Cs 0.071 0.250 0.141
Cs 0.929 0.750 0.859
Na 0.312 0.062 0.626
Na 0.312 0.438 0.626
Na 0.688 0.562 0.374
Na 0.688 0.938 0.374
Bi 0.203 0.750 0.406
Bi 0.797 0.250 0.594



Record 4
First-principles (PBE) data for a relaxed structure of Cs3NaBi, as listed in the Alexandria database.

Results
Electronic total energy, eV per cell: -17.164
Energy relative to the elements, eV/atom: -0.164
Energy above the most stable polymorph in this dataset, meV/atom: 0
Space group: Ima2, No. 46
Total magnetization, μB/f.u.: 0.6

Unit cell a=9.602 b=9.602 c=9.602 alpha=82.59 beta=122.53 gamma=126.25
Atoms (fractional coordinates):
Cs 0.171 0.006 0.665
Cs 0.248 0.016 0.264
Cs 0.248 0.484 0.732
Cs 0.342 0.506 0.335
Cs 0.752 0.516 0.268
Cs 0.752 0.984 0.736
Na 0.254 0.755 0.999
Na 0.757 0.255 0.001
Bi 0.751 0.004 0.247
Bi 0.757 0.504 0.753



Record 5
First-principles (PBE) data for a relaxed structure of CsNa2Bi2, as listed in the Alexandria database.

Results
Electronic total energy, eV per cell: -25.563
Energy relative to the elements, eV/atom: -0.306
Energy above the most stable polymorph in this dataset, meV/atom: 7
Space group: P4/mbm, No. 127
Total magnetization, μB/f.u.: 0.0

Unit cell a=10.094 b=10.094 c=3.428 alpha=90.00 beta=90.00 gamma=90.00
Atoms (fractional coordinates):
Cs 0.000 0.000 0.000
Cs 0.500 0.500 0.000
Na 0.125 0.375 0.000
Na 0.375 0.875 0.000
Na 0.625 0.125 0.000
Na 0.875 0.625 0.000
Bi 0.166 0.666 0.500
Bi 0.334 0.166 0.500
Bi 0.666 0.834 0.500
Bi 0.834 0.334 0.500



Record 6
First-principles (PBE) data for a relaxed structure of CsNa2Bi2, as listed in the Alexandria database.

Results
Electronic total energy, eV per cell: -24.914
Energy relative to the elements, eV/atom: -0.241
Energy above the most stable polymorph in this dataset, meV/atom: 72
Space group: C2/m, No. 12
Total magnetization, μB/f.u.: 0.0

Unit cell a=14.110 b=5.396 c=6.338 alpha=90.00 beta=91.20 gamma=90.00
Atoms (fractional coordinates):
Cs 0.000 0.000 0.000
Cs 0.500 0.500 0.000
Na 0.192 0.500 0.380
Na 0.308 0.000 0.620
Na 0.692 0.000 0.380
Na 0.808 0.500 0.620
Bi 0.208 0.500 0.891
Bi 0.292 0.000 0.109
Bi 0.708 0.000 0.891
Bi 0.792 0.500 0.109



Record 7
First-principles (PBE) data for a relaxed structure of CsNaBi3, as listed in the Alexandria database.

Results
Electronic total energy, eV per cell: -8.891
Energy relative to the elements, eV/atom: 0.985
Energy above the most stable polymorph in this dataset, meV/atom: 789
Space group: Pm-3m, No. 221
Total magnetization, μB/f.u.: 0.0

Unit cell a=6.431 b=6.431 c=6.431 alpha=90.00 beta=90.00 gamma=90.00
Atoms (fractional coordinates):
Cs 0.000 0.000 0.000
Na 0.500 0.500 0.500
Bi 0.000 0.000 0.500
Bi 0.000 0.500 0.000
Bi 0.500 0.000 0.000



Record 8
First-principles (PBE) data for a relaxed structure of CsNa2NiBi, as listed in the Alexandria database.

Results
Electronic total energy, eV per cell: -12.686
Energy relative to the elements, eV/atom: 0.094
Space group: P4/mmm, No. 123
Total magnetization, μB/f.u.: 0.0

Unit cell a=6.088 b=6.088 c=5.018 alpha=90.00 beta=90.00 gamma=90.00
Atoms (fractional coordinates):
Cs 0.000 0.000 0.000
Na 0.000 0.500 0.500
Na 0.500 0.000 0.500
Ni 0.500 0.500 0.000
Bi 0.500 0.500 0.500



Record 9
First-principles (PBE) data for a relaxed structure of Cs2NaBiO4, as listed in the Alexandria database.

Results
Electronic total energy, eV per cell: -71.480
Uncorrected formation energy, eV/atom: -1.1250
Space group: Fddd, No. 70
Total magnetization, μB/f.u.: 0.2

Unit cell a=12.641 b=11.116 c=7.340 alpha=83.79 beta=60.95 gamma=35.26
Atoms (fractional coordinates):
Cs 0.054 0.054 0.696
Cs 0.304 0.304 0.946
Cs 0.696 0.696 0.054
Cs 0.946 0.946 0.304
Na 0.125 0.125 0.125
Na 0.875 0.875 0.875
Bi 0.375 0.375 0.375
Bi 0.625 0.625 0.625
O 0.016 0.642 0.550
O 0.291 0.550 0.642
O 0.358 0.984 0.709
O 0.450 0.709 0.984
O 0.550 0.291 0.016
O 0.642 0.016 0.291
O 0.709 0.450 0.358
O 0.984 0.358 0.450



Record 10
First-principles (PBE) data for a relaxed structure of CsNa2BiO4, as listed in the Alexandria database.

Results
Electronic total energy, eV per cell: -72.022
Uncorrected formation energy, eV/atom: -1.1007
Space group: Imma, No. 74
Total magnetization, μB/f.u.: 0.0

Unit cell a=7.915 b=7.915 c=7.915 alpha=129.43 beta=128.63 gamma=74.97
Atoms (fractional coordinates):
Cs 0.500 0.000 0.000
Cs 0.500 0.500 0.500
Na 0.000 0.000 0.000
Na 0.000 0.000 0.500
Na 0.000 0.500 0.000
Na 0.500 0.000 0.500
Bi 0.000 0.500 0.500
Bi 0.500 0.500 0.000
O 0.128 0.663 0.465
O 0.258 0.279 0.521
O 0.258 0.737 0.979
O 0.301 0.337 0.965
O 0.699 0.663 0.035
O 0.742 0.263 0.021
O 0.742 0.721 0.479
O 0.872 0.337 0.535



Record 11
First-principles (PBE) data for a relaxed structure of CsNaBiO3, as listed in the Alexandria database.

Results
Electronic total energy, eV per cell: -57.056
Uncorrected formation energy, eV/atom: -1.2666
Space group: Cmcm, No. 63
Total magnetization, μB/f.u.: 0.2

Unit cell a=6.857 b=6.857 c=6.324 alpha=90.00 beta=90.00 gamma=124.92
Atoms (fractional coordinates):
Cs 0.240 0.760 0.750
Cs 0.760 0.240 0.250
Na 0.074 0.926 0.250
Na 0.926 0.074 0.750
Bi 0.441 0.559 0.250
Bi 0.559 0.441 0.750
O 0.269 0.731 0.250
O 0.273 0.273 0.000
O 0.273 0.273 0.500
O 0.727 0.727 0.000
O 0.727 0.727 0.500
O 0.731 0.269 0.750



Record 12
First-principles (PBE) data for a relaxed structure of CsNa2BiP, as listed in the Alexandria database.

Results
Electronic total energy, eV per cell: -11.024
Energy relative to the elements, eV/atom: 0.352
Space group: P4/mmm, No. 123
Total magnetization, μB/f.u.: 3.0

Unit cell a=6.005 b=6.005 c=7.566 alpha=90.00 beta=90.00 gamma=90.00
Atoms (fractional coordinates):
Cs 0.000 0.000 0.000
Na 0.000 0.500 0.500
Na 0.500 0.000 0.500
Bi 0.000 0.000 0.500
P 0.500 0.500 0.000



Record 13
First-principles (PBE) data for a relaxed structure of Cs2NaBi2Pb, as listed in the Alexandria database.

Results
Electronic total energy, eV per cell: -33.257
Energy relative to the elements, eV/atom: -0.355
Space group: Ibam, No. 72
Total magnetization, μB/f.u.: 0.0

Unit cell a=10.542 b=10.542 c=10.542 alpha=137.03 beta=62.44 gamma=136.97
Atoms (fractional coordinates):
Cs 0.170 0.243 0.412
Cs 0.330 0.743 0.073
Cs 0.670 0.257 0.927
Cs 0.830 0.757 0.588
Na 0.250 0.250 0.000
Na 0.750 0.750 0.000
Bi 0.100 0.736 0.836
Bi 0.400 0.236 0.637
Bi 0.600 0.764 0.363
Bi 0.900 0.264 0.164
Pb 0.250 0.750 0.500
Pb 0.750 0.250 0.500



Record 14
First-principles (PBE) data for a relaxed structure of Cs2NaBi3Pb4, as listed in the Alexandria database.

Results
Electronic total energy, eV per cell: -31.399
Energy relative to the elements, eV/atom: -0.190
Space group: P-4m2, No. 115
Total magnetization, μB/f.u.: 0.0

Unit cell a=5.499 b=5.499 c=13.457 alpha=90.00 beta=90.00 gamma=90.00
Atoms (fractional coordinates):
Cs 0.000 0.500 0.247
Cs 0.500 0.000 0.753
Na 0.500 0.500 0.000
Bi 0.000 0.000 0.000
Bi 0.000 0.500 0.635
Bi 0.500 0.000 0.365
Pb 0.000 0.000 0.500
Pb 0.000 0.500 0.872
Pb 0.500 0.000 0.128
Pb 0.500 0.500 0.500



Record 15
First-principles (PBE) data for a relaxed structure of CsNa2BiPd, as listed in the Alexandria database.

Results
Electronic total energy, eV per cell: -13.661
Energy relative to the elements, eV/atom: -0.219
Space group: P4/mmm, No. 123
Total magnetization, μB/f.u.: 0.0

Unit cell a=5.798 b=5.798 c=5.295 alpha=90.00 beta=90.00 gamma=90.00
Atoms (fractional coordinates):
Cs 0.000 0.000 0.000
Na 0.000 0.500 0.500
Na 0.500 0.000 0.500
Bi 0.500 0.500 0.000
Pd 0.500 0.500 0.500



Record 16
First-principles (PBE) data for a relaxed structure of CsNa2BiPt, as listed in the Alexandria database.

Results
Electronic total energy, eV per cell: -14.522
Energy relative to the elements, eV/atom: -0.222
Space group: P4/mmm, No. 123
Total magnetization, μB/f.u.: 0.0

Unit cell a=5.760 b=5.760 c=5.379 alpha=90.00 beta=90.00 gamma=90.00
Atoms (fractional coordinates):
Cs 0.000 0.000 0.000
Na 0.000 0.500 0.500
Na 0.500 0.000 0.500
Bi 0.500 0.500 0.000
Pt 0.500 0.500 0.500



Record 17
First-principles (PBE) data for a relaxed structure of Cs2RbNaBi, as listed in the Alexandria database.

Results
Electronic total energy, eV per cell: -8.511
Energy relative to the elements, eV/atom: -0.127
Energy above the most stable polymorph in this dataset, meV/atom: 0
Space group: P4/mmm, No. 123
Total magnetization, μB/f.u.: 0.0

Unit cell a=7.792 b=7.792 c=6.140 alpha=90.00 beta=90.00 gamma=90.00
Atoms (fractional coordinates):
Cs 0.000 0.500 0.000
Cs 0.500 0.000 0.000
Rb 0.000 0.000 0.500
Na 0.500 0.500 0.500
Bi 0.500 0.500 0.000



Record 18
First-principles (PBE) data for a relaxed structure of Cs2RbNaBi, as listed in the Alexandria database.

Results
Electronic total energy, eV per cell: -8.180
Energy relative to the elements, eV/atom: -0.061
Energy above the most stable polymorph in this dataset, meV/atom: 66
Space group: P4/mmm, No. 123
Total magnetization, μB/f.u.: 1.1

Unit cell a=7.568 b=7.568 c=7.308 alpha=90.00 beta=90.00 gamma=90.00
Atoms (fractional coordinates):
Cs 0.000 0.500 0.000
Cs 0.500 0.000 0.000
Rb 0.000 0.000 0.500
Na 0.500 0.500 0.500
Bi 0.000 0.000 0.000



Record 19
First-principles (PBE) data for a relaxed structure of CsRb2Na2Bi2, as listed in the Alexandria database.

Results
Electronic total energy, eV per cell: -15.110
Energy relative to the elements, eV/atom: -0.274
Space group: R-3m, No. 166
Total magnetization, μB/f.u.: 0.0

Unit cell a=9.821 b=9.821 c=9.821 alpha=35.32 beta=35.32 gamma=35.32
Atoms (fractional coordinates):
Cs 0.000 0.000 0.000
Rb 0.142 0.142 0.142
Rb 0.858 0.858 0.858
Na 0.283 0.283 0.283
Na 0.717 0.717 0.717
Bi 0.415 0.415 0.415
Bi 0.585 0.585 0.585



Record 20
First-principles (PBE) data for a relaxed structure of CsNa2BiRh, as listed in the Alexandria database.

Results
Electronic total energy, eV per cell: -15.148
Energy relative to the elements, eV/atom: -0.085
Space group: P4/mmm, No. 123
Total magnetization, μB/f.u.: 0.0

Unit cell a=5.770 b=5.770 c=5.175 alpha=90.00 beta=90.00 gamma=90.00
Atoms (fractional coordinates):
Cs 0.000 0.000 0.000
Na 0.000 0.500 0.500
Na 0.500 0.000 0.500
Bi 0.500 0.500 0.000
Rh 0.500 0.500 0.500



no.,calculated density (g/cm³)
1,5.39
2,4.75
3,3.54
4,3.62
5,5.68
6,4.11
7,4.89
8,3.99
9,4.37
10,5.15
11,5.62
12,2.55
13,5.64
14,7.12
15,4.61
16,5.42
17,2.60
18,2.31
19,4.51
20,4.73